## w
Crystalline Sr2Ti2V at its relaxed geometry, computed with PBE.

a b c (Å): 3.683 3.683 11.074
angles (deg): 80.43 80.43 90.00
Site moments in Bohr magnetons follow the coordinates.
Positions (direct):
Sr 0.604 0.604 0.792  0.09
V 0.000 0.000 0.000  3.02
Ti 0.750 0.250 0.500  0.10
Ti 0.250 0.750 0.500  0.10
Sr 0.396 0.396 0.208  0.09

The space-group type is I4/mmm, No. 139. The density is 3.7 g/cm³. The calculation puts the volume at 29.20 Å³ per atom.



## x
Crystalline Sr2Ti2V at its relaxed geometry, computed with PBE.

a b c (Å): 8.739 8.739 3.663
angles (deg): 90.00 90.00 90.00
Site moments in Bohr magnetons follow the coordinates.
Positions (direct):
Sr 0.362 0.862 0.000  -0.10
Ti 0.166 0.666 0.500  -1.39
Ti 0.834 0.334 0.500  -1.39
V 0.000 0.000 0.000  2.72
Ti 0.666 0.834 0.500  -1.39
Sr 0.638 0.138 0.000  -0.10
Sr 0.862 0.638 0.000  -0.10
V 0.500 0.500 0.000  2.72
Sr 0.138 0.362 0.000  -0.10
Ti 0.334 0.166 0.500  -1.39

The space-group type is P4/mbm, No. 127. The density is 3.8 g/cm³. The calculation puts the volume at 27.97 Å³ per atom.



Quick one: most stable of them? w



## w
Crystalline Sr2TiV2 at its relaxed geometry, computed with PBE.

a b c (Å): 9.115 9.115 3.450
angles (deg): 90.00 90.00 90.00
Site moments in Bohr magnetons follow the coordinates.
Positions (direct):
V 0.571 0.071 0.000  0.01
V 0.429 0.929 0.000  0.01
Sr 0.711 0.789 0.500  0.04
Sr 0.211 0.711 0.500  0.04
Ti 0.500 0.500 0.000  1.76
Sr 0.289 0.211 0.500  0.04
Sr 0.789 0.289 0.500  0.04
V 0.071 0.429 0.000  0.01
V 0.929 0.571 0.000  0.01
Ti 0.000 0.000 0.000  1.76

The space-group type is P4/mbm, No. 127. The density is 3.8 g/cm³. The calculation puts the volume at 28.67 Å³ per atom.



## x
Crystalline Sr2TiV2 at its relaxed geometry, computed with PBE.

a b c (Å): 4.406 4.406 7.494
angles (deg): 72.90 72.90 90.00
Site moments in Bohr magnetons follow the coordinates.
Positions (direct):
V 0.567 0.567 0.865  0.08
Ti 0.000 0.000 0.000  1.17
Sr 0.250 0.750 0.500  -0.01
V 0.433 0.433 0.135  0.08
Sr 0.750 0.250 0.500  -0.01

The space-group type is I4/mmm, No. 139. The density is 4.1 g/cm³. The calculation puts the volume at 26.46 Å³ per atom.



Quick one: most stable of them? w



## w
Crystalline SrTiW2 at its relaxed geometry, computed with PBE.

a b c (Å): 4.945 4.945 9.755
angles (deg): 75.32 75.32 90.00
Positions (direct):
Ti 0.250 0.750 0.500
Sr 0.000 0.000 0.000
W 0.875 0.625 0.750
W 0.375 0.125 0.250
Sr 0.750 0.250 0.500
W 0.375 0.625 0.750
W 0.375 0.625 0.250
Ti 0.500 0.500 0.000

The space-group type is I4_1/amd, No. 141. The density is 7.5 g/cm³. The calculation puts the volume at 27.84 Å³ per atom.



## x
Crystalline SrTiW2 at its relaxed geometry, computed with PBE.

a b c (Å): 4.777 4.777 4.777
angles (deg): 60.00 60.00 60.00
Positions (direct):
Ti 0.000 0.000 0.000
Sr 0.500 0.500 0.500
W 0.250 0.250 0.250
W 0.750 0.750 0.750

The space-group type is Fm-3m, No. 225. The density is 10.8 g/cm³. The calculation puts the volume at 19.27 Å³ per atom.



Quick one: most stable of them? x